No. 1
VASP calculation (PBE) on CeMg4Cd after structural relaxation.

Cell and atoms, written as CIF:
```
data_CeMg4Cd
_chemical_formula_sum 'Ce2 Mg8 Cd2'
_cell_length_a 4.7368
_cell_length_b 7.9539
_cell_length_c 7.9871
_cell_angle_alpha 90.00
_cell_angle_beta 90.00
_cell_angle_gamma 90.00
_space_group_name_H-M_alt 'P 1'
_space_group_IT_number 1
loop_
_space_group_symop_operation_xyz
'x,y,z'
loop_
_atom_site_label
_atom_site_fract_x
_atom_site_fract_y
_atom_site_fract_z
_atom_site_occupancy
Ce1 0.0000 0.6328 0.7500 1
Ce2 0.0000 0.3672 0.2500 1
Mg1 0.0000 0.0000 0.5000 1
Mg2 0.0000 0.0000 0.0000 1
Mg3 0.5000 0.9491 0.7500 1
Mg4 0.5000 0.0509 0.2500 1
Mg5 0.5000 0.6863 0.0520 1
Mg6 0.5000 0.3137 0.9480 1
Mg7 0.5000 0.6863 0.4480 1
Mg8 0.5000 0.3137 0.5520 1
Cd1 0.0000 0.2382 0.7500 1
Cd2 0.0000 0.7618 0.2500 1
```

Values from the calculation:
ΔE to the lowest computed polymorph   0.00 eV per formula unit
Formation energy   -0.029 eV/atom
Magnetization   0.1626 μB/atom
Electronic total energy   -2.2340 eV per atom



No. 2
VASP calculation (PBE) on CeMgCd2 after structural relaxation.

Cell and atoms, written as CIF:
```
data_CeMgCd2
_chemical_formula_sum 'Ce1 Mg1 Cd2'
_cell_length_a 3.3640
_cell_length_b 3.3640
_cell_length_c 8.3782
_cell_angle_alpha 90.00
_cell_angle_beta 90.00
_cell_angle_gamma 90.00
_space_group_name_H-M_alt 'P 1'
_space_group_IT_number 1
loop_
_space_group_symop_operation_xyz
'x,y,z'
loop_
_atom_site_label
_atom_site_fract_x
_atom_site_fract_y
_atom_site_fract_z
_atom_site_occupancy
Mg1 0.5000 0.5000 0.0000 1
Ce1 0.5000 0.5000 0.5000 1
Cd1 0.0000 0.0000 0.7783 1
Cd2 0.0000 0.0000 0.2217 1
```

Values from the calculation:
Formation energy   -0.170 eV/atom
Magnetization   0.1894 μB/atom
Electronic total energy   -2.5099 eV per atom



No. 3
VASP calculation (PBE) on CeMg12Cd6 after structural relaxation.

Cell and atoms, written as CIF:
```
data_CeMg12Cd6
_chemical_formula_sum 'Ce1 Mg12 Cd6'
_cell_length_a 8.0559
_cell_length_b 8.0559
_cell_length_c 8.0559
_cell_angle_alpha 104.54
_cell_angle_beta 104.54
_cell_angle_gamma 104.54
_space_group_name_H-M_alt 'P 1'
_space_group_IT_number 1
loop_
_space_group_symop_operation_xyz
'x,y,z'
loop_
_atom_site_label
_atom_site_fract_x
_atom_site_fract_y
_atom_site_fract_z
_atom_site_occupancy
Ce1 0.0000 0.0000 0.0000 1
Mg1 0.8876 0.1124 0.5000 1
Mg2 0.8516 0.6008 0.6008 1
Mg3 0.6008 0.6008 0.8516 1
Mg4 0.3992 0.1484 0.3992 1
Mg5 0.3992 0.3992 0.1484 1
Mg6 0.1484 0.3992 0.3992 1
Mg7 0.1124 0.5000 0.8876 1
Mg8 0.5000 0.8876 0.1124 1
Mg9 0.1124 0.8876 0.5000 1
Mg10 0.8876 0.5000 0.1124 1
Mg11 0.5000 0.1124 0.8876 1
Mg12 0.6008 0.8516 0.6008 1
Cd1 0.7159 0.2749 0.2749 1
Cd2 0.2749 0.2749 0.7159 1
Cd3 0.2749 0.7159 0.2749 1
Cd4 0.7251 0.7251 0.2841 1
Cd5 0.2841 0.7251 0.7251 1
Cd6 0.7251 0.2841 0.7251 1
```

Values from the calculation:
Formation energy   0.027 eV/atom
Magnetization   0.0670 μB/atom
Electronic total energy   -1.5810 eV per atom



No. 4
VASP calculation (PBE) on Ce2MgCd6 after structural relaxation.

Cell and atoms, written as CIF:
```
data_Ce2MgCd6
_chemical_formula_sum 'Ce2 Mg1 Cd6'
_cell_length_a 6.4574
_cell_length_b 6.3382
_cell_length_c 6.3385
_cell_angle_alpha 60.00
_cell_angle_beta 89.99
_cell_angle_gamma 89.99
_space_group_name_H-M_alt 'P 1'
_space_group_IT_number 1
loop_
_space_group_symop_operation_xyz
'x,y,z'
loop_
_atom_site_label
_atom_site_fract_x
_atom_site_fract_y
_atom_site_fract_z
_atom_site_occupancy
Ce1 0.8611 0.6667 0.6667 1
Ce2 0.1389 0.3333 0.3333 1
Mg1 0.0000 0.0000 0.0000 1
Cd1 0.3297 0.3540 0.8230 1
Cd2 0.3297 0.8230 0.8230 1
Cd3 0.3297 0.8230 0.3540 1
Cd4 0.6703 0.6460 0.1770 1
Cd5 0.6703 0.1770 0.1770 1
Cd6 0.6703 0.1770 0.6460 1
```

Values from the calculation:
ΔE to the lowest computed polymorph   0.24 eV per formula unit
Formation energy   -0.161 eV/atom
Magnetization   0.2614 μB/atom
Electronic total energy   -2.2664 eV per atom



No. 5
VASP calculation (PBE) on CeMg5Cd4 after structural relaxation.

Cell and atoms, written as CIF:
```
data_CeMg5Cd4
_chemical_formula_sum 'Ce1 Mg5 Cd4'
_cell_length_a 3.5516
_cell_length_b 3.5516
_cell_length_c 18.1037
_cell_angle_alpha 90.00
_cell_angle_beta 90.00
_cell_angle_gamma 90.00
_space_group_name_H-M_alt 'P 1'
_space_group_IT_number 1
loop_
_space_group_symop_operation_xyz
'x,y,z'
loop_
_atom_site_label
_atom_site_fract_x
_atom_site_fract_y
_atom_site_fract_z
_atom_site_occupancy
Ce1 0.0000 0.0000 0.0000 1
Mg1 0.5000 0.5000 0.1274 1
Mg2 0.5000 0.5000 0.3149 1
Mg3 0.5000 0.5000 0.5000 1
Mg4 0.5000 0.5000 0.6851 1
Mg5 0.5000 0.5000 0.8726 1
Cd1 0.0000 0.0000 0.2189 1
Cd2 0.0000 0.0000 0.4078 1
Cd3 0.0000 0.0000 0.5922 1
Cd4 0.0000 0.0000 0.7811 1
```

Values from the calculation:
Formation energy   -0.071 eV/atom
Magnetization   0.1460 μB/atom
Electronic total energy   -1.8278 eV per atom



No. 6
VASP calculation (PBE) on Ce2MgCd after structural relaxation.

Cell and atoms, written as CIF:
```
data_Ce2MgCd
_chemical_formula_sum 'Ce2 Mg1 Cd1'
_cell_length_a 5.4248
_cell_length_b 5.4248
_cell_length_c 5.4248
_cell_angle_alpha 60.00
_cell_angle_beta 60.00
_cell_angle_gamma 60.00
_space_group_name_H-M_alt 'P 1'
_space_group_IT_number 1
loop_
_space_group_symop_operation_xyz
'x,y,z'
loop_
_atom_site_label
_atom_site_fract_x
_atom_site_fract_y
_atom_site_fract_z
_atom_site_occupancy
Mg1 0.7500 0.7500 0.7500 1
Ce1 0.0000 0.0000 0.0000 1
Ce2 0.5000 0.5000 0.5000 1
Cd1 0.2500 0.2500 0.2500 1
```

Values from the calculation:
Formation energy   0.003 eV/atom
Magnetization   0.4931 μB/atom
Electronic total energy   -3.5913 eV per atom



No. 7
VASP calculation (PBE) on CeMg7Cd5 after structural relaxation.

Cell and atoms, written as CIF:
```
data_CeMg7Cd5
_chemical_formula_sum 'Ce1 Mg7 Cd5'
_cell_length_a 5.9019
_cell_length_b 7.6804
_cell_length_c 7.6804
_cell_angle_alpha 81.71
_cell_angle_beta 67.40
_cell_angle_gamma 67.40
_space_group_name_H-M_alt 'P 1'
_space_group_IT_number 1
loop_
_space_group_symop_operation_xyz
'x,y,z'
loop_
_atom_site_label
_atom_site_fract_x
_atom_site_fract_y
_atom_site_fract_z
_atom_site_occupancy
Ce1 0.9995 0.0005 0.0005 1
Mg1 0.6476 0.3524 0.3524 1
Mg2 0.3479 0.6521 0.6521 1
Mg3 0.9991 0.3512 0.6506 1
Mg4 0.9991 0.6506 0.3512 1
Mg5 0.2836 0.2164 0.2164 1
Mg6 0.5021 0.7858 0.2100 1
Mg7 0.5021 0.2100 0.7858 1
Cd1 0.5030 0.9999 0.4944 1
Cd2 0.0027 0.9999 0.4944 1
Cd3 0.5030 0.4944 0.9999 1
Cd4 0.0027 0.4944 0.9999 1
Cd5 0.7075 0.7925 0.7925 1
```

Values from the calculation:
Formation energy   -0.123 eV/atom
Magnetization   0.0806 μB/atom
Electronic total energy   -1.7896 eV per atom



No. 8
VASP calculation (PBE) on Ce2MgCd3 after structural relaxation.

Cell and atoms, written as CIF:
```
data_Ce2MgCd3
_chemical_formula_sum 'Ce4 Mg2 Cd6'
_cell_length_a 6.2445
_cell_length_b 6.2445
_cell_length_c 8.8512
_cell_angle_alpha 90.00
_cell_angle_beta 90.00
_cell_angle_gamma 120.00
_space_group_name_H-M_alt 'P 1'
_space_group_IT_number 1
loop_
_space_group_symop_operation_xyz
'x,y,z'
loop_
_atom_site_label
_atom_site_fract_x
_atom_site_fract_y
_atom_site_fract_z
_atom_site_occupancy
Ce1 0.6667 0.3333 0.4092 1
Ce2 0.3333 0.6667 0.5908 1
Ce3 0.3333 0.6667 0.9092 1
Ce4 0.6667 0.3333 0.0908 1
Mg1 0.0000 0.0000 0.5000 1
Mg2 0.0000 0.0000 0.0000 1
Cd1 0.1744 0.3488 0.2500 1
Cd2 0.3488 0.1744 0.7500 1
Cd3 0.8256 0.6512 0.7500 1
Cd4 0.1744 0.8256 0.2500 1
Cd5 0.8256 0.1744 0.7500 1
Cd6 0.6512 0.8256 0.2500 1
```

Values from the calculation:
ΔE to the lowest computed polymorph   0.00 eV per formula unit
Formation energy   -0.190 eV/atom
Magnetization   0.2953 μB/atom
Electronic total energy   -2.8913 eV per atom



No. 9
VASP calculation (PBE) on CeMg2Cd2 after structural relaxation.

Cell and atoms, written as CIF:
```
data_CeMg2Cd2
_chemical_formula_sum 'Ce2 Mg4 Cd4'
_cell_length_a 3.0130
_cell_length_b 8.7803
_cell_length_c 8.7803
_cell_angle_alpha 90.00
_cell_angle_beta 90.00
_cell_angle_gamma 90.00
_space_group_name_H-M_alt 'P 1'
_space_group_IT_number 1
loop_
_space_group_symop_operation_xyz
'x,y,z'
loop_
_atom_site_label
_atom_site_fract_x
_atom_site_fract_y
_atom_site_fract_z
_atom_site_occupancy
Ce1 0.0000 0.0000 0.0000 1
Ce2 0.0000 0.5000 0.5000 1
Mg1 0.0000 0.3747 0.8747 1
Mg2 0.0000 0.8747 0.6253 1
Mg3 0.0000 0.6253 0.1253 1
Mg4 0.0000 0.1253 0.3747 1
Cd1 0.5000 0.1715 0.6715 1
Cd2 0.5000 0.6715 0.8285 1
Cd3 0.5000 0.8285 0.3285 1
Cd4 0.5000 0.3285 0.1715 1
```

Values from the calculation:
ΔE to the lowest computed polymorph   0.00 eV per formula unit
Formation energy   -0.121 eV/atom
Magnetization   0.2708 μB/atom
Electronic total energy   -2.3115 eV per atom



No. 10
VASP calculation (PBE) on CeMg4Cd8 after structural relaxation.

Cell and atoms, written as CIF:
```
data_CeMg4Cd8
_chemical_formula_sum 'Ce1 Mg4 Cd8'
_cell_length_a 6.0082
_cell_length_b 7.6127
_cell_length_c 7.6127
_cell_angle_alpha 81.04
_cell_angle_beta 66.76
_cell_angle_gamma 66.76
_space_group_name_H-M_alt 'P 1'
_space_group_IT_number 1
loop_
_space_group_symop_operation_xyz
'x,y,z'
loop_
_atom_site_label
_atom_site_fract_x
_atom_site_fract_y
_atom_site_fract_z
_atom_site_occupancy
Ce1 0.0000 0.0000 0.0000 1
Mg1 0.0000 0.0000 0.5000 1
Mg2 0.5000 0.0000 0.5000 1
Mg3 0.0000 0.5000 0.0000 1
Mg4 0.5000 0.5000 0.0000 1
Cd1 0.0000 0.3468 0.6532 1
Cd2 0.0000 0.6532 0.3468 1
Cd3 0.3468 0.6532 0.6532 1
Cd4 0.6532 0.3468 0.3468 1
Cd5 0.5000 0.7846 0.2154 1
Cd6 0.5000 0.2154 0.7846 1
Cd7 0.2846 0.2154 0.2154 1
Cd8 0.7154 0.7846 0.7846 1
```

Values from the calculation:
Formation energy   -0.147 eV/atom
Magnetization   0.0770 μB/atom
Electronic total energy   -1.6573 eV per atom



No. 11
VASP calculation (PBE) on CeMg9Cd2 after structural relaxation.

Cell and atoms, written as CIF:
```
data_CeMg9Cd2
_chemical_formula_sum 'Ce2 Mg18 Cd4'
_cell_length_a 7.7616
_cell_length_b 9.3922
_cell_length_c 9.3922
_cell_angle_alpha 80.17
_cell_angle_beta 65.59
_cell_angle_gamma 65.59
_space_group_name_H-M_alt 'P 1'
_space_group_IT_number 1
loop_
_space_group_symop_operation_xyz
'x,y,z'
loop_
_atom_site_label
_atom_site_fract_x
_atom_site_fract_y
_atom_site_fract_z
_atom_site_occupancy
Ce1 0.5000 0.0000 0.0000 1
Ce2 0.2500 0.5000 0.5000 1
Mg1 0.7500 0.5000 0.5000 1
Mg2 0.0000 0.0000 0.0000 1
Mg3 0.0050 0.9199 0.6763 1
Mg4 0.6011 0.0801 0.3237 1
Mg5 0.6748 0.1763 0.5801 1
Mg6 0.4312 0.8237 0.4199 1
Mg7 0.7450 0.8237 0.5801 1
Mg8 0.1489 0.1763 0.4199 1
Mg9 0.0752 0.9199 0.3237 1
Mg10 0.3188 0.0801 0.6763 1
Mg11 0.7450 0.5801 0.8237 1
Mg12 0.1489 0.4199 0.1763 1
Mg13 0.0752 0.3237 0.9199 1
Mg14 0.3188 0.6763 0.0801 1
Mg15 0.0050 0.6763 0.9199 1
Mg16 0.6011 0.3237 0.0801 1
Mg17 0.6748 0.5801 0.1763 1
Mg18 0.4312 0.4199 0.8237 1
Cd1 0.8750 0.2500 0.7500 1
Cd2 0.8750 0.7500 0.2500 1
Cd3 0.8750 0.2500 0.2500 1
Cd4 0.3750 0.7500 0.7500 1
```

Values from the calculation:
Formation energy   -0.054 eV/atom
Magnetization   0.1143 μB/atom
Electronic total energy   -1.8970 eV per atom



No. 12
VASP calculation (PBE) on Ce2Mg3Cd3 after structural relaxation.

Cell and atoms, written as CIF:
```
data_Ce2Mg3Cd3
_chemical_formula_sum 'Ce2 Mg3 Cd3'
_cell_length_a 5.1870
_cell_length_b 5.1870
_cell_length_c 8.9877
_cell_angle_alpha 73.23
_cell_angle_beta 73.23
_cell_angle_gamma 60.00
_space_group_name_H-M_alt 'P 1'
_space_group_IT_number 1
loop_
_space_group_symop_operation_xyz
'x,y,z'
loop_
_atom_site_label
_atom_site_fract_x
_atom_site_fract_y
_atom_site_fract_z
_atom_site_occupancy
Ce1 0.0018 0.0018 0.9946 1
Ce2 0.4983 0.4983 0.5051 1
Mg1 0.2490 0.2490 0.2530 1
Mg2 0.7507 0.7507 0.7479 1
Mg3 0.6247 0.6247 0.1259 1
Cd1 0.1256 0.1256 0.6232 1
Cd2 0.8777 0.8777 0.3669 1
Cd3 0.3722 0.3722 0.8834 1
```

Values from the calculation:
Formation energy   -0.184 eV/atom
Magnetization   0.2381 μB/atom
Electronic total energy   -2.6085 eV per atom